{"formula": "Al2IrCl", "functional": "SCAN", "state": "single point on PBEsol structure", "sg": "Pmmm, No. 47", "magmom_total_mub_per_cell": 0.0, "e_form_raw_mev_per_atom": -808.8, "relative_energy_mev_per_atom": 0, "lattice_angstrom": [[2.949, 0.000, 0.000], [0.000, 2.984, 0.000], [0.000, 0.000, 7.229]], "species": ["Ir", "Al", "Al", "Cl"], "fractional_positions": [[0.000, 0.500, 0.500], [0.500, 0.000, 0.709], [0.500, 0.000, 0.291], [0.500, 0.500, 0.000]]}